Compound: SrYBr
Source: Alexandria
Functional: PBE
Structure: relaxed

Results
total magnetization	2.0	μB/f.u.
energy relative to the elements, uncorrected	-0.205	eV per atom
crystal system	cubic

Unit cell a=7.4575 b=7.4575 c=7.4575 alpha=90.00 beta=90.00 gamma=90.00
Closest atoms and distances in Å follow each position.
Fractional positions:
Sr  0.0000  0.0000  0.0000  4 Br 3.23
Sr  0.0000  0.5000  0.5000  4 Br 3.23
Sr  0.5000  0.0000  0.5000  4 Br 3.23
Sr  0.5000  0.5000  0.0000  4 Br 3.23
Y  0.0000  0.0000  0.5000  4 Br 3.23
Y  0.0000  0.5000  0.0000  4 Br 3.23
Y  0.5000  0.0000  0.0000  4 Br 3.23
Y  0.5000  0.5000  0.5000  4 Br 3.23
Br  0.2500  0.2500  0.2500  4 Y 3.23, 4 Sr 3.23
Br  0.2500  0.7500  0.7500  4 Y 3.23, 4 Sr 3.23
Br  0.7500  0.2500  0.7500  4 Y 3.23, 4 Sr 3.23
Br  0.7500  0.7500  0.2500  4 Y 3.23, 4 Sr 3.23